1.
A plane-wave DFT calculation with GGA+U was carried out for a geometry-optimized FeTe2PbO6 structure.

a = 8.175 Å, b = 8.175 Å, c = 6.128 Å
α = 95.01°, β = 95.01°, γ = 110.45°
Element x y z (fractional)
Fe  0.245  0.755  0.750
Fe  0.755  0.245  0.250
Te  0.104  0.301  0.697
Te  0.301  0.104  0.197
Te  0.699  0.896  0.803
Te  0.896  0.699  0.303
Pb  0.360  0.640  0.250
Pb  0.640  0.360  0.750
O  0.117  0.704  0.447
O  0.166  0.520  0.875
O  0.250  0.366  0.474
O  0.296  0.883  0.053
O  0.366  0.250  0.974
O  0.480  0.834  0.625
O  0.520  0.166  0.375
O  0.634  0.750  0.026
O  0.704  0.117  0.947
O  0.750  0.634  0.526
O  0.834  0.480  0.125
O  0.883  0.296  0.553

The calculation puts the density of states at the Fermi level at 0.00 states/eV per atom. The total energy comes out at -113.5 eV for the cell shown. The calculation puts the magnetic moment at 4.0 μB per formula unit.

***

2.
A plane-wave DFT calculation with GGA+U was carried out for a geometry-optimized MgCr2AgO8 structure.

a = 5.621 Å, b = 5.621 Å, c = 6.100 Å
α = 90.00°, β = 90.00°, γ = 120.00°
Element x y z (fractional)
Mg  0.000  0.000  0.000
Cr  0.333  0.667  0.300
Cr  0.667  0.333  0.700
Ag  0.000  0.000  0.500
O  0.168  0.335  0.216
O  0.168  0.832  0.216
O  0.333  0.667  0.563
O  0.335  0.168  0.784
O  0.665  0.832  0.216
O  0.667  0.333  0.437
O  0.832  0.168  0.784
O  0.832  0.665  0.784

The calculation puts the density of states at the Fermi level at 0.56 states/eV per atom. The total energy comes out at -73.4 eV for the cell shown. The calculation puts the magnetic moment at 1.1 μB per formula unit.

***

> Look up the density of states at the Fermi level of the first one.

0.00 states/eV per atom